# ZnAg2Br (PBE, optimized geometry)
data_ZnAg2Br
_symmetry_space_group_name_H-M 'P 1'
_symmetry_Int_Tables_number 1
_cell_length_a 4.8077
_cell_length_b 4.8077
_cell_length_c 6.5503
_cell_angle_alpha 108.19
_cell_angle_beta 108.19
_cell_angle_gamma 44.01
loop_
_symmetry_equiv_pos_as_xyz
'x,y,z'
loop_
_atom_site_label
_atom_site_type_symbol
_atom_site_fract_x
_atom_site_fract_y
_atom_site_fract_z
Zn1 Zn 0.0000 0.0000 0.0000
Ag1 Ag 0.3207 0.3207 0.1135
Ag2 Ag 0.6543 0.6543 0.2991
Br1 Br 0.9479 0.9479 0.6098
# Magnetic moment (μB/f.u.): 0.00
# Excess energy over the best structure of this formula in the dataset (eV per atom): 0.000
# Energy relative to the elements, uncorrected (kJ per mole of atoms): -4